Entry 1:
{"formula": "Tb4SmHo6", "functional": "PBE-GGA", "state": "relaxed", "dft_energy_ev_per_atom": -4.486, "polymorph_energy_mev_per_atom": 0, "dos_at_fermi_per_ev_cell": 39.68, "formation_enthalpy_0k_ev_per_atom": 0.12, "mass_density_g_cm3": 8.427, "crystal_system": "orthorhombic", "lattice": [[-4.238, 3.404, 1.696], [3.266, -2.555, 3.730], [15.977, 20.027, -0.270]], "species": ["Tb", "Tb", "Tb", "Tb", "Tb", "Tb", "Tb", "Tb", "Ho", "Ho", "Ho", "Ho", "Ho", "Ho", "Ho", "Ho", "Ho", "Ho", "Ho", "Ho", "Sm", "Sm"], "fractional_positions": [[0.843, 0.686, 0.542], [0.529, 0.058, 0.621], [0.471, 0.942, 0.379], [0.157, 0.314, 0.042], [0.157, 0.314, 0.458], [0.843, 0.686, 0.958], [0.529, 0.058, 0.879], [0.471, 0.942, 0.121], [0.500, 0.000, 0.000], [0.520, 0.041, 0.750], [0.810, 0.620, 0.397], [0.143, 0.286, 0.181], [0.190, 0.380, 0.897], [0.857, 0.714, 0.819], [0.143, 0.286, 0.319], [0.857, 0.714, 0.681], [0.810, 0.620, 0.103], [0.480, 0.959, 0.250], [0.500, 0.000, 0.500], [0.190, 0.380, 0.603], [0.186, 0.372, 0.750], [0.814, 0.628, 0.250]]}

Entry 2:
{"formula": "RbRuPt3", "functional": "PBE-GGA", "state": "relaxed", "dft_energy_ev_per_atom": -4.845, "polymorph_energy_mev_per_atom": 0, "dos_at_fermi_per_ev_cell": 6.48, "formation_enthalpy_0k_ev_per_atom": 0.83, "mass_density_g_cm3": 10.675, "crystal_system": "cubic", "lattice": [[4.933, 0.000, 0.000], [0.000, 4.933, 0.000], [0.000, 0.000, 4.933]], "species": ["Pt", "Pt", "Pt", "Ru", "Rb"], "fractional_positions": [[0.000, 0.500, 0.000], [0.500, 0.000, 0.000], [0.000, 0.000, 0.500], [0.000, 0.000, 0.000], [0.500, 0.500, 0.500]]}

Q: Number 2 is which compound?
A: RbRuPt3